A plane-wave DFT calculation with PBE-GGA was carried out for TiReSeN2 after structural relaxation.

Offset from the most stable computed form, eV per atom: 0.642
Formation energy (no corrections), eV/atom: 0.98
Crystal system: tetragonal

Cell lengths 3.855, 3.855, 5.343 Å; angles 90.00, 90.00, 90.00 degrees
Site moments in Bohr magnetons follow the coordinates.
Element x y z (fractional)
1 N 0.500 0.000 0.000  -0.07
2 N 0.000 0.500 0.000  -0.07
3 Se 0.000 0.000 0.500  0.00
4 Ti 0.000 0.000 0.000  0.10
5 Re 0.500 0.500 0.500  3.11

A plane-wave DFT calculation with PBE-GGA was carried out for SmSc2Cu after structural relaxation.

Offset from the most stable computed form, eV per atom: 0.009
Crystal system: tetragonal

Cell lengths 3.339, 3.339, 8.253 Å; angles 90.00, 90.00, 90.00 degrees
Element x y z (fractional)
1 Sc 0.000 0.000 0.811
2 Sm 0.500 0.500 0.500
3 Sc 0.000 0.000 0.189
4 Cu 0.500 0.500 0.000

A plane-wave DFT calculation with PBE-GGA was carried out for K3Sm3ThSe8 after structural relaxation.

Formation energy (no corrections), eV/atom: -1.76
Crystal system: trigonal

Cell lengths 8.569, 8.572, 9.246 Å; angles 117.65, 90.00, 119.99 degrees
Element x y z (fractional)
1 Se 0.737 0.971 0.704
2 Se 0.234 0.468 0.704
3 Se 0.766 0.029 0.296
4 K 0.000 0.000 0.000
5 Sm 0.000 0.500 0.500
6 Th 0.000 0.000 0.500
7 Se 0.263 0.029 0.296
8 Se 0.766 0.532 0.296
9 Se 0.736 0.472 0.707
10 Sm 0.500 0.000 0.500
11 K 0.500 0.500 0.000
12 Se 0.234 0.971 0.704
13 K 0.000 0.500 0.000
14 Se 0.264 0.528 0.293
15 Sm 0.500 0.500 0.500

What total energy values result from the calculations? In sequence: -7.12 -5.45 -5.28 eV per atom.
What density of states at the Fermi level values result from the calculations? In sequence: 0.5712 1.3796 0.0000 states/eV/atom.
What volume values result from the calculations? In sequence: 15.88 23.00 33.11 A^3/atom.